[1]
The following is a DFT calculation (GGA-PBE) of Pm2SiNi after structural relaxation.

As for the uncorrected energy: -5.537 eV per atom. Its uncorrected formation energy is -0.3610 eV per atom.

Cell lengths 3.490, 3.490, 7.291 Å; angles 90.00, 90.00, 90.00 degrees
Sites, in units of the cell vectors:
Si 0.500 0.500 0.500
Ni 0.500 0.500 0.000
Pm 0.000 0.000 0.760
Pm 0.000 0.000 0.240

[2]
The following is a DFT calculation (GGA-PBE) of PmSi4Ni12 after structural relaxation.

As for the uncorrected energy: -5.670 eV per atom. Its uncorrected formation energy is -0.0332 eV per atom.

Cell lengths 6.744, 6.744, 6.744 Å; angles 109.47, 109.47, 109.47 degrees
Sites, in units of the cell vectors:
Ni 0.809 0.161 0.648
Ni 0.839 0.648 0.488
Ni 0.839 0.352 0.191
Ni 0.161 0.352 0.512
Ni 0.191 0.839 0.352
Ni 0.352 0.191 0.839
Ni 0.352 0.512 0.161
Ni 0.488 0.839 0.648
Ni 0.512 0.161 0.352
Ni 0.648 0.488 0.839
Ni 0.648 0.809 0.161
Ni 0.161 0.648 0.809
Si 0.500 0.500 0.500
Si 0.000 0.000 0.500
Si 0.500 0.000 0.000
Si 0.000 0.500 0.000
Pm 0.000 0.000 0.000

[3]
The following is a DFT calculation (GGA-PBE) of Pm2Si3Ni2 after structural relaxation.

As for the uncorrected energy: -5.962 eV per atom. Its uncorrected formation energy is -0.6287 eV per atom.

Cell lengths 3.867, 5.747, 6.868 Å; angles 120.13, 90.00, 109.66 degrees
Sites, in units of the cell vectors:
Si 0.500 0.000 0.000
Si 0.353 0.707 0.565
Si 0.647 0.293 0.435
Ni 0.871 0.743 0.781
Ni 0.129 0.257 0.219
Pm 0.137 0.275 0.766
Pm 0.863 0.725 0.234

[4]
The following is a DFT calculation (GGA-PBE) of PmSi2Ni4 after structural relaxation.

As for the uncorrected energy: -6.141 eV per atom. Its uncorrected formation energy is -0.6096 eV per atom.

Cell lengths 3.659, 7.300, 7.300 Å; angles 90.00, 90.00, 90.00 degrees
Sites, in units of the cell vectors:
Ni 0.000 0.341 0.085
Ni 0.000 0.915 0.659
Ni 0.000 0.659 0.915
Ni 0.500 0.841 0.415
Ni 0.000 0.085 0.341
Ni 0.500 0.585 0.159
Ni 0.500 0.159 0.585
Ni 0.500 0.415 0.841
Si 0.500 0.277 0.277
Si 0.000 0.777 0.223
Si 0.000 0.223 0.777
Si 0.500 0.723 0.723
Pm 0.500 0.000 0.000
Pm 0.000 0.500 0.500

[5]
The following is a DFT calculation (GGA-PBE) of Pm3Si2Ni9 after structural relaxation.

As for the uncorrected energy: -5.933 eV per atom. Its uncorrected formation energy is -0.4238 eV per atom.

Cell lengths 3.907, 7.850, 7.850 Å; angles 73.75, 75.59, 75.59 degrees
Sites, in units of the cell vectors:
Si 0.500 0.267 0.733
Si 0.500 0.733 0.267
Pm 0.000 0.000 0.000
Pm 0.308 0.692 0.692
Pm 0.692 0.308 0.308
Ni 0.692 0.621 0.995
Ni 0.105 0.615 0.175
Ni 0.895 0.825 0.385
Ni 0.308 0.379 0.005
Ni 0.000 0.500 0.500
Ni 0.692 0.995 0.621
Ni 0.308 0.005 0.379
Ni 0.895 0.385 0.825
Ni 0.105 0.175 0.615

[6]
The following is a DFT calculation (GGA-PBE) of PmSi3Ni2 after structural relaxation.

As for the uncorrected energy: -6.100 eV per atom. Its uncorrected formation energy is -0.6692 eV per atom.

Cell lengths 3.983, 3.983, 12.288 Å; angles 99.33, 99.33, 90.00 degrees
Sites, in units of the cell vectors:
Ni 0.750 0.250 0.500
Ni 0.403 0.403 0.806
Ni 0.597 0.597 0.194
Ni 0.250 0.750 0.500
Si 0.549 0.049 0.099
Si 0.951 0.451 0.901
Si 0.698 0.698 0.396
Si 0.049 0.549 0.099
Si 0.302 0.302 0.604
Si 0.451 0.951 0.901
Pm 0.850 0.850 0.700
Pm 0.150 0.150 0.300

Q: Number 2 is which compound?
A: PmSi4Ni12